Below is crystalline Mg2IrPb at its relaxed geometry, with properties calculated at the PBE level.

## Properties
DFT formation energy	0.112	eV/atom
DFT total energy	-3.8276	eV/atom

a b c (Å): 3.1922 3.1922 29.0858
angles (deg): 90.00 90.00 120.00
With the nearest neighbours (Å) after each atom.
Space group R3m (No. 160, hexagonal axes)
Inequivalent atoms, fractional coordinates:
Mg 0.0000 0.0000 0.0000  3 Ir 2.67
Mg 0.0000 0.0000 0.2387  9 Mg 3.19-3.31, 3 Pb 3.34
Ir 0.0000 0.0000 0.7333  3 Mg 2.67, 3 Pb 2.89
Pb 0.0000 0.0000 0.4764  3 Ir 2.89, 6 Pb 3.19